Below is an optimized crystal structure of NbFe2Re2, with properties calculated at the PBE level.

Lattice parameters (Å, degrees): 7.2087 7.2087 2.6831 90.00 90.00 90.00
With the nearest neighbours (Å) after each atom.
Space group P4/mbm (No. 127)
Asymmetric unit:
Nb (0.0000, 0.0000, 0.0000) x2  2 Nb 2.68, 4 Fe 2.86, 8 Re 2.99
Fe (0.1228, 0.3772, 0.0000) x4  6 Re 2.50-2.53, 3 Fe 2.50-2.68
Re (0.1704, 0.6704, 0.5000) x4  6 Fe 2.50-2.53, 2 Re 2.68

Output
Fermi-level density of states: 8.8 states/eV per cell
Calculated formation energy: 35.3 meV/atom
Crystal system: tetragonal
Energy above the lowest structure with this stoichiometry: 0.0 meV per atom



Below is an optimized crystal structure of Si2AuSe, with properties calculated at the PBE level.

Lattice parameters (Å, degrees): 5.2646 7.3985 7.5138 90.00 90.00 90.00
With the nearest neighbours (Å) after each atom.
Space group Fmmm (No. 69)
Asymmetric unit:
Si (0.0000, 0.2500, 0.2500) x8  2 Si 2.63, 2 Se 2.64, 2 Au 2.64
Au (0.0000, 0.0000, 0.0000) x4  2 Se 2.63, 4 Si 2.64
Se (0.0000, 0.0000, 0.5000) x4  2 Au 2.63, 4 Si 2.64

Output
Fermi-level density of states: 5.4 states/eV per cell
ΔE_f (raw): 0.13 eV/atom
Crystal system: orthorhombic



Below is an optimized crystal structure of Sr2Zn2H4Ir, with properties calculated at the PBE level.

Lattice parameters (Å, degrees): 6.0756 6.0756 7.4183 90.00 90.00 90.00
With the nearest neighbours (Å) after each atom.
Space group I4/mmm (No. 139)
Asymmetric unit:
Sr (0.0000, 0.5000, 0.2500) x4  8 H 2.87, 4 Zn 3.11
Zn (0.0000, 0.0000, 0.1596) x4  1 Zn 2.37, 1 Ir 2.53
H (0.2006, 0.2006, 0.5000) x8  1 Ir 1.72
Ir (0.0000, 0.0000, 0.5000) x2  4 H 1.72

Output
Fermi-level density of states: 6.7 states/eV per cell
VASP energy: -61.93 eV/cell
Crystal system: tetragonal



Below is an optimized crystal structure of ScCrTcMo, with properties calculated at the PBE level.

Lattice parameters (Å, degrees): 6.2900 6.2900 6.2900 90.00 90.00 90.00
With the nearest neighbours (Å) after each atom.
Space group F-43m (No. 216)
Asymmetric unit:
Sc (0.0000, 0.0000, 0.0000) x4  4 Cr 2.72, 4 Tc 2.72
Cr (0.2500, 0.2500, 0.7500) x4  4 Mo 2.72, 4 Sc 2.72
Tc (0.2500, 0.2500, 0.2500) x4  4 Mo 2.72, 4 Sc 2.72
Mo (0.0000, 0.0000, 0.5000) x4  4 Tc 2.72, 4 Cr 2.72

Output
Fermi-level density of states: 12.5 states/eV per cell
Calculated formation energy: 17.0 meV/atom
Crystal system: cubic